# 1
Material: Dy2ScZn12Cu3
Method: DFT, PBE-GGA
State: optimized geometry

Output
E_form ... 0.1390 eV/atom
VASP energy ... -40.6 eV/cell
Volume ... 19.420 Å³/atom
Size of the total moment ... 0.00 μB/cell
Space-group type ... No. 166

Unit cell a=8.2395 b=8.2395 c=8.2395 alpha=55.00 beta=55.00 gamma=55.00
Closest atoms and distances in Å follow each position.
Fractional positions:
Dy: 0.5887 0.5887 0.5887  6 Zn 2.82-3.02
Dy: 0.4113 0.4113 0.4113  6 Zn 2.82-3.02
Sc: 0.0000 0.0000 0.0000  12 Zn 2.73-2.96
Zn: 0.2287 0.2287 0.8574  2 Cu 2.36
Zn: 0.8319 0.8319 0.4704  1 Cu 2.62, 4 Zn 2.75
Zn: 0.4704 0.8319 0.8319  1 Cu 2.62, 4 Zn 2.75
Zn: 0.8574 0.2287 0.2287  2 Cu 2.36
Zn: 0.8319 0.4704 0.8319  1 Cu 2.62, 4 Zn 2.75
Zn: 0.2287 0.8574 0.2287  2 Cu 2.36
Zn: 0.7713 0.7713 0.1426  2 Cu 2.36
Zn: 0.1681 0.1681 0.5296  1 Cu 2.62, 4 Zn 2.75
Zn: 0.5296 0.1681 0.1681  1 Cu 2.62, 4 Zn 2.75
Zn: 0.1426 0.7713 0.7713  2 Cu 2.36
Zn: 0.1681 0.5296 0.1681  1 Cu 2.62, 4 Zn 2.75
Zn: 0.7713 0.1426 0.7713  2 Cu 2.36
Cu: 0.5000 0.0000 0.0000  6 Zn 2.36-2.62
Cu: 0.0000 0.5000 0.0000  6 Zn 2.36-2.62
Cu: 0.0000 0.0000 0.5000  6 Zn 2.36-2.62

=====

# 2
Material: DyCu2Se2
Method: DFT, PBE-GGA
State: optimized geometry

Output
VASP energy ... -45.6 eV/cell
Volume ... 19.543 Å³/atom
Size of the total moment ... 0.00 μB/cell
Space-group type ... No. 15
Formation energy from raw total energies ... -0.6056 eV per atom

Unit cell a=6.7794 b=6.7794 c=6.1164 alpha=117.30 beta=117.30 gamma=99.45
Closest atoms and distances in Å follow each position.
Fractional positions:
Dy: 0.1152 0.8848 0.2500  6 Se 2.85-3.12, 4 Cu 3.02-3.13
Dy: 0.8848 0.1152 0.7500  6 Se 2.85-3.12, 4 Cu 3.02-3.13
Cu: 0.7604 0.5700 0.5520  3 Se 2.38-2.49, 1 Cu 2.62
Cu: 0.4300 0.2396 0.9480  3 Se 2.38-2.49, 1 Cu 2.62
Cu: 0.5700 0.7604 0.0520  3 Se 2.38-2.49, 1 Cu 2.62
Cu: 0.2396 0.4300 0.4480  3 Se 2.38-2.49, 1 Cu 2.62
Se: 0.3907 0.6093 0.2500  4 Cu 2.46-2.49
Se: 0.8272 0.1728 0.2500  2 Cu 2.38
Se: 0.1728 0.8272 0.7500  2 Cu 2.38
Se: 0.6093 0.3907 0.7500  4 Cu 2.46-2.49

=====

# 3
Material: DyCu3Se3
Method: DFT, PBE-GGA
State: optimized geometry

Output
VASP energy ... -65.0 eV/cell
Volume ... 20.032 Å³/atom
Size of the total moment ... 0.00 μB/cell
Space-group type ... No. 148
Formation energy from raw total energies ... -0.7396 eV per atom

Unit cell a=7.7406 b=7.7406 c=7.7406 alpha=53.80 beta=53.80 gamma=53.80
Closest atoms and distances in Å follow each position.
Fractional positions:
Dy: 0.8338 0.8338 0.8338  6 Se 2.87-2.88
Dy: 0.1662 0.1662 0.1662  6 Se 2.87-2.88
Cu: 0.9772 0.6294 0.2679  4 Se 2.43-2.54
Cu: 0.2679 0.9772 0.6294  4 Se 2.43-2.54
Cu: 0.6294 0.2679 0.9772  4 Se 2.43-2.54
Cu: 0.3706 0.7321 0.0228  4 Se 2.43-2.54
Cu: 0.7321 0.0228 0.3706  4 Se 2.43-2.54
Cu: 0.0228 0.3706 0.7321  4 Se 2.43-2.54
Se: 0.7385 0.4202 0.0961  4 Cu 2.43-2.54
Se: 0.4202 0.0961 0.7385  4 Cu 2.43-2.54
Se: 0.0961 0.7385 0.4202  4 Cu 2.43-2.54
Se: 0.9039 0.2615 0.5798  4 Cu 2.43-2.54
Se: 0.5798 0.9039 0.2615  4 Cu 2.43-2.54
Se: 0.2615 0.5798 0.9039  4 Cu 2.43-2.54

=====

# 4
Material: Dy2CuSe3
Method: DFT, PBE-GGA
State: optimized geometry

Output
VASP energy ... -31.6 eV/cell
Volume ... 22.820 Å³/atom
Size of the total moment ... 0.00 μB/cell
Space-group type ... No. 71
Formation energy from raw total energies ... -1.3091 eV per atom

Unit cell a=3.7907 b=4.4825 c=8.5761 alpha=105.15 beta=102.77 gamma=90.00
Closest atoms and distances in Å follow each position.
Fractional positions:
Dy: 0.6398 0.6398 0.2796  7 Se 2.93-3.00
Dy: 0.3602 0.3602 0.7204  7 Se 2.93-3.00
Cu: 0.0000 0.0000 0.0000  2 Se 2.24
Se: 0.0000 0.5000 0.0000  2 Cu 2.24
Se: 0.8219 0.8219 0.6438  1 Cu 2.87, 5 Dy 2.93-3.00
Se: 0.1781 0.1781 0.3562  1 Cu 2.87, 5 Dy 2.93-3.00

=====

# 5
Material: Dy5CuSe4
Method: DFT, PBE-GGA
State: optimized geometry

Output
VASP energy ... -55.7 eV/cell
Volume ... 23.979 Å³/atom
Size of the total moment ... 0.00 μB/cell
Space-group type ... No. 12
Formation energy from raw total energies ... -1.4626 eV per atom

Unit cell a=4.0036 b=7.1503 c=9.1312 alpha=75.48 beta=77.34 gamma=73.74
Closest atoms and distances in Å follow each position.
Fractional positions:
Dy: 0.1923 0.9022 0.7132  1 Cu 2.77, 5 Se 2.91-2.92
Dy: 0.8077 0.0978 0.2868  1 Cu 2.77, 5 Se 2.91-2.92
Dy: 0.4062 0.2837 0.9040  2 Cu 2.80, 4 Se 2.92-2.97
Dy: 0.0000 0.5000 0.5000  6 Se 2.87
Dy: 0.5938 0.7163 0.0960  2 Cu 2.80, 4 Se 2.92-2.97
Cu: 0.0000 0.0000 0.0000  6 Dy 2.77-2.80
Se: 0.6056 0.1987 0.5902  6 Dy 2.87-2.97
Se: 0.1963 0.4078 0.1996  6 Dy 2.87-2.93
Se: 0.8037 0.5922 0.8004  6 Dy 2.87-2.93
Se: 0.3944 0.8013 0.4098  6 Dy 2.87-2.97

=====

# 6
Material: DyCuSe
Method: DFT, PBE-GGA
State: optimized geometry

Output
VASP energy ... -30.4 eV/cell
Volume ... 20.887 Å³/atom
Size of the total moment ... 0.00 μB/cell
Space-group type ... No. 12
Formation energy from raw total energies ... -1.0018 eV per atom

Unit cell a=3.8335 b=3.8335 c=10.0775 alpha=112.14 beta=112.14 gamma=89.98
Closest atoms and distances in Å follow each position.
Fractional positions:
Cu: 0.3099 0.3099 0.5534  1 Se 2.60, 1 Dy 2.70, 3 Cu 2.79-2.86
Cu: 0.6901 0.6901 0.4466  1 Se 2.60, 1 Dy 2.70, 3 Cu 2.79-2.86
Se: 0.6091 0.6091 0.8578  1 Cu 2.60, 4 Dy 2.83
Se: 0.3909 0.3909 0.1422  1 Cu 2.60, 4 Dy 2.83
Dy: 0.0158 0.0158 0.7635  1 Cu 2.70, 4 Se 2.83
Dy: 0.9842 0.9842 0.2365  1 Cu 2.70, 4 Se 2.83